Below is crystalline Tb4Sm10Pu at its relaxed geometry, with properties calculated at the GGA-PBE level.

```
Tb4Sm10Pu
1.0
9.625 0.000 4.346
4.813 6.925 2.173
1.963 0.000 8.485
Sm Pu Tb
10 1 4
direct
0.544 0.326 0.904
0.774 0.674 0.096
0.250 0.500 0.500
0.552 0.904 0.674
0.456 0.674 0.096
0.750 0.500 0.500
0.448 0.096 0.326
0.869 0.904 0.674
0.131 0.096 0.326
0.226 0.326 0.904
0.000 0.000 0.000
0.674 0.266 0.386
0.060 0.614 0.266
0.940 0.386 0.734
0.326 0.734 0.614
```

Results
symmetry = I4/m (87)

---

Below is crystalline Tb12Sm3Pu at its relaxed geometry, with properties calculated at the GGA-PBE level.

```
Tb12Sm3Pu
1.0
-3.518 3.148 -1.769
-1.978 -3.746 -2.733
-12.068 -4.845 15.375
Tb Pu Sm
12 1 3
direct
0.500 0.500 0.000
0.500 0.000 0.879
0.500 0.000 0.374
0.500 0.500 0.752
0.500 0.500 0.248
0.500 0.500 0.500
0.000 0.500 0.626
0.500 0.000 0.121
0.500 0.000 0.626
0.000 0.500 0.374
0.000 0.500 0.879
0.000 0.500 0.121
0.000 0.000 0.000
0.000 0.000 0.752
0.000 0.000 0.248
0.000 0.000 0.500
```

Results
symmetry = P4/mmm (123)

---

Below is crystalline Tb5Sm4Pu at its relaxed geometry, with properties calculated at the GGA-PBE level.

```
Tb5Sm4Pu
1.0
-1.590 1.939 -2.494
-9.425 -6.302 1.111
0.396 5.611 6.616
Sm Tb Pu
4 5 1
direct
0.914 0.203 0.827
0.395 0.706 0.790
0.605 0.294 0.210
0.086 0.797 0.173
0.500 0.500 0.000
0.191 0.581 0.382
0.809 0.419 0.618
0.790 0.885 0.581
0.210 0.115 0.419
0.500 0.000 0.000
```

Results
symmetry = C2/m (12)

---

Below is crystalline Tb5Sm12Pu at its relaxed geometry, with properties calculated at the GGA-PBE level.

```
Tb5Sm12Pu
1.0
10.802 -0.005 -0.034
5.402 9.296 -0.834
0.018 -1.528 6.038
Sm Tb Pu
12 5 1
direct
0.164 0.000 0.500
0.331 0.000 0.000
0.499 0.334 0.501
0.833 0.666 0.499
0.330 0.669 0.000
0.501 0.666 0.499
0.167 0.334 0.501
0.836 0.000 0.500
0.670 0.331 0.000
0.669 0.000 0.000
0.000 0.669 0.000
0.000 0.331 0.000
0.500 0.000 0.500
0.835 0.331 0.495
0.667 0.666 0.998
0.165 0.669 0.505
0.333 0.334 0.002
0.000 0.000 0.000
```

Results
symmetry = C2/m (12)

---

Below is crystalline TbSm2Pu at its relaxed geometry, with properties calculated at the GGA-PBE level.

```
TbSm2Pu
1.0
-0.117 -2.921 1.993
2.685 1.225 1.952
-6.602 4.523 6.241
Sm Tb Pu
2 1 1
direct
0.000 0.000 0.755
0.000 0.000 0.245
0.500 0.500 0.500
0.500 0.500 0.000
```

Results
ΔE to the lowest computed polymorph = 0.000 eV per atom
symmetry = P4/mmm (123)

---

Below is crystalline TbSm2Pu at its relaxed geometry, with properties calculated at the GGA-PBE level.

```
TbSm2Pu
1.0
3.485 0.000 0.000
1.743 3.018 0.000
1.743 1.006 12.366
Pu Sm Tb
1 2 1
direct
0.000 0.000 0.000
0.088 0.088 0.735
0.912 0.912 0.265
0.500 0.500 0.500
```

Results
ΔE to the lowest computed polymorph = 0.154 eV per atom
symmetry = R-3m (166)

---

Below is crystalline Tb8Sm3Pu at its relaxed geometry, with properties calculated at the GGA-PBE level.

```
Tb8Sm3Pu
1.0
1.556 7.977 -1.999
2.725 -5.912 -5.261
-7.962 -2.570 -0.240
Tb Sm Pu
8 3 1
direct
0.538 0.738 0.738
0.749 0.108 0.108
0.462 0.200 0.200
0.000 0.800 0.262
0.000 0.641 0.892
0.251 0.359 0.359
0.000 0.892 0.641
0.000 0.262 0.800
0.500 0.250 0.750
0.000 0.500 0.500
0.500 0.750 0.250
0.000 0.000 0.000
```

Results
symmetry = I-42m (121)

---

Below is crystalline TbSmPu at its relaxed geometry, with properties calculated at the GGA-PBE level.

```
TbSmPu
1.0
3.617 0.000 0.000
0.000 11.858 0.000
0.000 0.000 7.966
Sm Pu Tb
4 4 4
direct
0.750 0.172 0.356
0.250 0.328 0.644
0.250 0.672 0.144
0.750 0.828 0.856
0.250 0.691 0.513
0.750 0.191 0.987
0.750 0.809 0.487
0.250 0.309 0.013
0.750 0.458 0.320
0.750 0.542 0.820
0.250 0.042 0.680
0.250 0.958 0.180
```

Results
ΔE to the lowest computed polymorph = 0.130 eV per atom
symmetry = Pnma (62)

---

Below is crystalline Tb5Sm2Pu at its relaxed geometry, with properties calculated at the GGA-PBE level.

```
Tb5Sm2Pu
1.0
-3.911 -4.867 2.326
4.707 -4.634 -0.846
4.396 -3.998 11.674
Tb Pu Sm
10 2 4
direct
0.481 0.519 0.250
0.029 0.255 0.983
0.640 0.005 0.242
0.519 0.481 0.750
0.971 0.745 0.017
0.745 0.972 0.517
0.006 0.639 0.742
0.360 0.995 0.758
0.994 0.361 0.258
0.255 0.028 0.483
0.119 0.882 0.250
0.881 0.118 0.750
0.500 0.500 0.500
0.000 0.500 0.500
0.500 0.000 0.000
0.500 0.500 0.000
```

Results
symmetry = P-1 (2)

---

Below is crystalline Tb14SmPu at its relaxed geometry, with properties calculated at the GGA-PBE level.

```
Tb14SmPu
1.0
-2.372 -5.207 -4.237
6.462 -0.553 -2.938
2.560 -6.788 6.908
Tb Sm Pu
14 1 1
direct
0.875 0.625 0.000
0.875 0.625 0.500
0.627 0.373 0.751
0.875 0.125 0.500
0.123 0.877 0.751
0.375 0.625 0.500
0.627 0.877 0.751
0.627 0.877 0.249
0.375 0.125 0.500
0.627 0.373 0.249
0.123 0.373 0.751
0.123 0.373 0.249
0.123 0.877 0.249
0.375 0.125 0.000
0.375 0.625 0.000
0.875 0.125 0.000
```

Results
symmetry = P4/mmm (123)

---

Below is crystalline TbSm2Pu at its relaxed geometry, with properties calculated at the GGA-PBE level.

```
TbSm2Pu
1.0
-2.198 4.509 -0.254
-3.953 -1.784 2.535
2.186 1.309 4.330
Tb Sm Pu
1 2 1
direct
0.500 0.000 0.000
0.000 0.000 0.500
0.000 0.500 0.000
0.500 0.500 0.500
```

Results
ΔE to the lowest computed polymorph = 0.039 eV per atom
symmetry = P4/mmm (123)

---

Below is crystalline Tb2Sm6Pu at its relaxed geometry, with properties calculated at the GGA-PBE level.

```
Tb2Sm6Pu
1.0
-3.764 2.902 -5.177
6.287 -1.841 -5.603
-12.461 -6.323 5.516
Tb Sm Pu
4 12 2
direct
0.500 0.806 0.769
0.000 0.694 0.731
0.000 0.306 0.269
0.500 0.194 0.231
0.244 0.746 0.950
0.500 0.247 0.672
0.000 0.253 0.828
0.244 0.254 0.050
0.756 0.746 0.950
0.256 0.246 0.450
0.256 0.754 0.550
0.000 0.747 0.172
0.744 0.754 0.550
0.744 0.246 0.450
0.500 0.753 0.328
0.756 0.254 0.050
0.500 0.500 0.000
0.000 0.000 0.500
```

Results
symmetry = C2/m (12)

---

Below is crystalline Tb12Sm5Pu at its relaxed geometry, with properties calculated at the GGA-PBE level.

```
Tb12Sm5Pu
1.0
10.716 -0.005 -0.021
5.359 9.205 -1.044
0.011 -1.380 6.026
Tb Pu Sm
12 1 5
direct
0.164 0.000 0.500
0.669 0.330 0.999
0.330 0.000 0.000
0.670 0.000 0.000
0.166 0.334 0.501
0.500 0.334 0.501
0.836 0.000 0.500
0.999 0.670 0.001
0.500 0.666 0.499
0.834 0.666 0.499
0.001 0.330 0.999
0.331 0.670 0.001
0.000 0.000 0.000
0.667 0.666 0.999
0.333 0.334 0.001
0.165 0.670 0.507
0.500 0.000 0.500
0.835 0.330 0.493
```

Results
symmetry = C2/m (12)

---

Below is crystalline Tb4Sm7Pu at its relaxed geometry, with properties calculated at the GGA-PBE level.

```
Tb4Sm7Pu
1.0
-4.380 -0.777 3.213
1.134 -2.566 5.610
0.537 10.535 7.967
Tb Sm Pu
4 7 1
direct
0.090 0.449 0.371
0.539 0.700 0.222
0.461 0.300 0.778
0.910 0.551 0.629
0.782 0.539 0.898
0.500 0.000 0.000
0.167 0.921 0.744
0.218 0.461 0.102
0.359 0.810 0.472
0.641 0.190 0.528
0.833 0.079 0.256
0.000 0.000 0.000
```

Results
symmetry = C2/m (12)

---

Below is crystalline TbSm14Pu at its relaxed geometry, with properties calculated at the GGA-PBE level.

```
TbSm14Pu
1.0
-5.424 3.153 -3.777
4.611 -4.588 -3.364
-6.972 -8.900 2.583
Sm Tb Pu
14 1 1
direct
0.166 0.834 0.750
0.668 0.838 0.754
0.834 0.666 0.000
0.334 0.167 0.500
0.334 0.166 0.000
0.833 0.666 0.500
0.162 0.332 0.754
0.834 0.166 0.500
0.668 0.332 0.753
0.668 0.332 0.247
0.668 0.838 0.246
0.162 0.332 0.246
0.334 0.666 0.500
0.166 0.834 0.250
0.333 0.667 0.000
0.833 0.167 0.000
```

Results
symmetry = Amm2 (38)

---

Below is crystalline Tb3Sm4Pu at its relaxed geometry, with properties calculated at the GGA-PBE level.

```
Tb3Sm4Pu
1.0
-2.400 2.272 -1.034
-3.626 -7.518 -8.104
-1.184 0.105 8.780
Sm Pu Tb
4 1 3
direct
0.631 0.379 0.262
0.369 0.117 0.738
0.631 0.883 0.262
0.369 0.621 0.738
0.500 0.000 0.000
0.234 0.234 0.469
0.766 0.766 0.531
0.000 0.500 0.000
```

Results
symmetry = Immm (71)

---

Below is crystalline Tb4Sm5Pu at its relaxed geometry, with properties calculated at the GGA-PBE level.

```
Tb4Sm5Pu
1.0
-0.289 -2.447 2.541
11.414 -0.692 0.632
-2.563 7.165 4.145
Tb Sm Pu
4 5 1
direct
0.917 0.711 0.833
0.395 0.201 0.790
0.083 0.289 0.167
0.605 0.799 0.210
0.813 0.922 0.626
0.790 0.386 0.581
0.210 0.614 0.419
0.500 0.500 0.000
0.187 0.078 0.374
0.500 0.000 0.000
```

Results
symmetry = C2/m (12)

---

Below is crystalline Tb3Sm3Pu at its relaxed geometry, with properties calculated at the GGA-PBE level.

```
Tb3Sm3Pu
1.0
5.897 0.000 1.895
2.644 5.271 1.895
-1.418 -0.875 14.535
Tb Sm Pu
6 6 2
direct
0.269 0.604 0.190
0.731 0.396 0.810
0.063 0.731 0.810
0.396 0.063 0.810
0.937 0.269 0.190
0.604 0.937 0.190
0.131 0.463 0.606
0.200 0.869 0.394
0.800 0.131 0.606
0.869 0.537 0.394
0.463 0.800 0.606
0.537 0.200 0.394
0.667 0.667 0.000
0.333 0.333 0.000
```

Results
symmetry = R-3 (148)

---

Below is crystalline TbSmPu at its relaxed geometry, with properties calculated at the GGA-PBE level.

```
TbSmPu
1.0
-1.582 -1.900 -2.553
2.123 -1.607 2.354
-6.733 -1.332 5.164
Tb Sm Pu
1 1 1
direct
0.333 0.667 0.662
0.000 0.000 0.003
0.667 0.333 0.335
```

Results
ΔE to the lowest computed polymorph = 0.015 eV per atom
symmetry = P3m1 (156)

---

Below is crystalline Tb6Sm2Pu at its relaxed geometry, with properties calculated at the GGA-PBE level.

```
Tb6Sm2Pu
1.0
7.173 -0.686 0.865
-1.136 8.996 6.451
-2.271 2.390 10.628
Tb Sm Pu
12 4 2
direct
0.536 0.065 0.659
0.964 0.341 0.935
0.340 0.436 0.436
0.464 0.935 0.341
0.536 0.659 0.065
0.840 0.436 0.436
0.660 0.564 0.564
0.036 0.065 0.659
0.964 0.935 0.341
0.464 0.341 0.935
0.160 0.564 0.564
0.036 0.659 0.065
0.251 0.735 0.735
0.749 0.265 0.265
0.751 0.735 0.735
0.249 0.265 0.265
0.250 0.000 0.000
0.750 0.000 0.000
```

Results
symmetry = C2/c (15)

---

Number 1: uncorrected energy -4.98 eV/atom, ΔE_f 0.36 eV/atom. Number 2: uncorrected energy -5.21 eV/atom, ΔE_f 0.04 eV/atom. Number 3: uncorrected energy -5.56 eV/atom, ΔE_f 0.07 eV/atom. Number 4: uncorrected energy -5.19 eV/atom, ΔE_f 0.03 eV/atom. Number 5: uncorrected energy -6.99 eV/atom, ΔE_f 0.11 eV/atom. Number 6: uncorrected energy -6.84 eV/atom, ΔE_f 0.26 eV/atom. Number 7: uncorrected energy -4.90 eV/atom, ΔE_f 0.57 eV/atom. Number 8: uncorrected energy -7.64 eV/atom, ΔE_f 0.25 eV/atom. Number 9: uncorrected energy -5.68 eV/atom, ΔE_f 0.18 eV/atom. Number 10: uncorrected energy -5.20 eV/atom, ΔE_f 0.04 eV/atom. Number 11: uncorrected energy -6.95 eV/atom, ΔE_f 0.15 eV/atom. Number 12: uncorrected energy -5.58 eV/atom, ΔE_f 0.18 eV/atom. Number 13: uncorrected energy -5.16 eV/atom, ΔE_f 0.03 eV/atom. Number 14: uncorrected energy -5.26 eV/atom, ΔE_f 0.23 eV/atom. Number 15: uncorrected energy -5.26 eV/atom, ΔE_f 0.05 eV/atom. Number 16: uncorrected energy -5.74 eV/atom, ΔE_f 0.15 eV/atom. Number 17: uncorrected energy -5.58 eV/atom, ΔE_f 0.06 eV/atom. Number 18: uncorrected energy -5.85 eV/atom, ΔE_f 0.20 eV/atom. Number 19: uncorrected energy -7.76 eV/atom, ΔE_f 0.13 eV/atom. Number 20: uncorrected energy -5.49 eV/atom, ΔE_f 0.24 eV/atom.